DFT (SCAN) results for a crystal of Sr2CuIr relaxed with PBEsol.

Lattice parameters (Å, degrees): 5.5690 5.5690 5.5690 133.65 133.65 67.63
Atoms (fractional coordinates):
Sr 0.0000 0.0000 0.0000
Sr 0.7500 0.2500 0.5000
Cu 0.5000 0.5000 0.0000
Ir 0.2500 0.7500 0.5000

Calculated values
Energy   -32.50 eV/atom
Total moment   0.00 μB/f.u.
Space group   I-4m2 (119)